! PrNd2PaSb4, relaxed, DFT PBE; values from VASP
&SYSTEM
  ibrav = 0, nat = 8, ntyp = 4
/
ATOMIC_SPECIES
Pa 231.04 Pa.upf
Sb 121.76 Sb.upf
Pr 140.91 Pr.upf
Nd 144.24 Nd.upf
ATOMIC_POSITIONS crystal
Pa 0.5000 0.5000 0.0000
Sb 0.5000 0.2564 0.2464
Sb 0.0000 0.2582 0.7569
Sb 0.0000 0.7418 0.2431
Sb 0.5000 0.7436 0.7536
Pr 0.0000 0.0000 0.0000
Nd 0.5000 0.0000 0.5000
Nd 0.0000 0.5000 0.5000
CELL_PARAMETERS angstrom
-0.5144 -3.0606 -3.2395
7.2184 1.4519 -2.5180
0.2221 -5.6662 5.3181
! Total DFT energy (no corrections) ... -6.04 eV per atom
! ΔE_f (raw) ... -1.004 eV/atom
! Crystal system ... monoclinic
! Total magnetic moment ... 0.9 μB/f.u.

! RbHg3Ir, relaxed, DFT PBE; values from VASP
&SYSTEM
  ibrav = 0, nat = 5, ntyp = 3
/
ATOMIC_SPECIES
Rb 85.47 Rb.upf
Ir 192.22 Ir.upf
Hg 200.59 Hg.upf
ATOMIC_POSITIONS crystal
Rb 0.5000 0.5000 0.5000
Ir 0.0000 0.0000 0.0000
Hg 0.5000 0.0000 0.0000
Hg 0.0000 0.0000 0.5000
Hg 0.0000 0.5000 0.0000
CELL_PARAMETERS angstrom
5.3568 0.0000 0.0000
0.0000 5.3568 0.0000
0.0000 0.0000 5.3568
! E_form ... -0.068 eV per atom
! Total DFT energy (no corrections) ... -2.21 eV per atom
! Crystal system ... cubic
! Total magnetic moment ... 0.0 μB/f.u.

! NaP5, relaxed, DFT PBE; values from VASP
&SYSTEM
  ibrav = 0, nat = 24, ntyp = 2
/
ATOMIC_SPECIES
P 30.97 P.upf
Na 22.99 Na.upf
ATOMIC_POSITIONS crystal
P 0.2500 0.0186 0.8097
P 0.7500 0.0659 0.8131
P 0.4863 0.0928 0.0821
P 0.2500 0.5659 0.6869
P 0.7500 0.3641 0.8610
P 0.7500 0.9814 0.1903
P 0.0137 0.4072 0.5821
P 0.2500 0.9341 0.1869
P 0.2500 0.4814 0.3097
P 0.7500 0.1359 0.3610
P 0.5137 0.5928 0.4179
P 0.9863 0.5928 0.4179
P 0.0137 0.0928 0.0821
P 0.4863 0.4072 0.5821
P 0.7500 0.4341 0.3131
P 0.9863 0.9072 0.9179
P 0.2500 0.8641 0.6390
P 0.7500 0.5186 0.6903
P 0.2500 0.6359 0.1390
P 0.5137 0.9072 0.9179
Na 0.7500 0.9030 0.5743
Na 0.2500 0.4030 0.9257
Na 0.2500 0.0970 0.4257
Na 0.7500 0.5970 0.0743
CELL_PARAMETERS angstrom
-2.3273 5.3686 2.9512
-4.1527 -4.0664 4.1225
8.0342 -0.6263 7.4752
! E_form ... -0.175 eV per atom
! Total DFT energy (no corrections) ... -4.90 eV per atom
! Crystal system ... orthorhombic
! Total magnetic moment ... 0.0 μB/f.u.

! La2FeSi, relaxed, DFT PBE; values from VASP
&SYSTEM
  ibrav = 0, nat = 4, ntyp = 3
/
ATOMIC_SPECIES
La 138.91 La.upf
Si 28.09 Si.upf
Fe 55.84 Fe.upf
ATOMIC_POSITIONS crystal
La 0.2500 0.7500 0.5000
La 0.0000 0.0000 0.0000
Si 0.5000 0.5000 0.0000
Fe 0.7500 0.2500 0.5000
CELL_PARAMETERS angstrom
-2.3343 4.0765 3.2832
-2.9214 -1.9557 4.5262
5.2055 -0.9595 -2.1974
! Total DFT energy (no corrections) ... -5.96 eV per atom
! ΔE_f (raw) ... -0.024 eV/atom
! Crystal system ... tetragonal
! Total magnetic moment ... 2.0 μB/f.u.

! Sc3TlMo, relaxed, DFT PBE; values from VASP
&SYSTEM
  ibrav = 0, nat = 5, ntyp = 3
/
ATOMIC_SPECIES
Tl 204.38 Tl.upf
Mo 95.94 Mo.upf
Sc 44.96 Sc.upf
ATOMIC_POSITIONS crystal
Tl 0.0000 0.0000 0.0000
Mo 0.5000 0.5000 0.5000
Sc 0.0000 0.5000 0.0000
Sc 0.5000 0.0000 0.0000
Sc 0.0000 0.0000 0.5000
CELL_PARAMETERS angstrom
-3.7017 3.7353 -0.7088
-3.6878 -3.2870 1.9373
0.9247 1.8441 4.8889
! E_form ... 1.165 eV per atom
! Total DFT energy (no corrections) ... -5.27 eV per atom
! Crystal system ... cubic
! Total magnetic moment ... 3.9 μB/f.u.

! Ba2Sn4Pt3, relaxed, DFT PBE; values from VASP
&SYSTEM
  ibrav = 0, nat = 9, ntyp = 3
/
ATOMIC_SPECIES
Pt 195.08 Pt.upf
Ba 137.33 Ba.upf
Sn 118.71 Sn.upf
ATOMIC_POSITIONS crystal
Pt 0.0000 0.0000 0.0000
Pt 0.5000 0.0000 0.0000
Pt 0.0000 0.5000 0.0000
Ba 0.6300 0.6300 0.2600
Ba 0.3700 0.3700 0.7400
Sn 0.0209 0.6771 0.6980
Sn 0.9791 0.3229 0.3020
Sn 0.6771 0.0209 0.6980
Sn 0.3229 0.9791 0.3020
CELL_PARAMETERS angstrom
6.4577 -0.4263 0.0000
-3.3787 5.5197 0.0000
-1.5395 -2.5467 6.9083
! E_form ... -0.605 eV per atom
! Total DFT energy (no corrections) ... -4.82 eV per atom
! Crystal system ... orthorhombic
! Total magnetic moment ... 0.0 μB/f.u.